No. 1
A plane-wave DFT calculation with PBE was carried out for a relaxed structure of MgZrBeIr.

The value obtained for the formation energy is -355 meV per atom.

```
4
Lattice="-3.806 -2.091 -1.179 -1.115 -3.905 1.938 -3.454 -0.178 2.879" Properties=species:S:1:pos:R:3 pbc="T T T"
Be 0.000 0.000 0.000
Mg -2.094 -1.544 0.909
Ir -4.188 -3.087 1.819
Zr -6.281 -4.631 2.728
```



No. 2
A plane-wave DFT calculation with PBE was carried out for a relaxed structure of MnBe2Ir.

The value obtained for the formation energy is -123 meV per atom.

```
4
Lattice="3.685 0.000 0.000 0.000 2.602 0.001 0.000 0.583 4.610" Properties=species:S:1:pos:R:3 pbc="T T T"
Be 0.000 0.666 4.570
Be 0.000 1.510 2.346
Mn 1.842 2.389 3.458
Ir 1.842 0.796 1.153
```



No. 3
A plane-wave DFT calculation with PBE was carried out for a relaxed structure of MnBeIr.

The value obtained for the formation energy is -189 meV per atom.

```
6
Lattice="4.007 0.001 0.000 -0.023 6.295 0.000 0.000 0.592 2.664" Properties=species:S:1:pos:R:3 pbc="T T T"
Be 0.272 2.720 1.064
Be 2.245 4.243 0.723
Ir 0.241 4.834 1.991
Ir 0.271 0.550 0.147
Mn 2.251 6.552 1.609
Mn 2.275 2.612 2.485
```